Material: Al2MoF
Method: DFT, PBE with a Hubbard U
State: relaxed

```
8
Lattice="-3.352 3.352 2.570 3.352 -3.352 2.570 3.352 3.352 -2.570" Properties=species:S:1:pos:R:3 pbc="T T T"
Al 5.028 1.299 -0.642
Al 1.299 1.676 0.642
Al -1.676 2.053 1.927
Al 2.053 1.676 3.212
Mo 3.352 0.000 1.285
Mo 0.000 0.000 2.570
F 0.000 0.000 0.000
F 0.000 3.352 1.285
```

ΔE to the lowest computed polymorph ... 0.000 eV per formula unit
V ... 58 Å³/f.u.
D(E_F) ... 0.40 states/eV/atom
Electronic total energy ... -0.1540 Ha/atom